K3Sm3ScTe8 after structural relaxation. Source: Alexandria, functional PBE.

a b c (Å): 9.964 9.964 9.964
angles (deg): 52.60 52.60 52.60
Element x y z (fractional)
K  0.000  0.500  0.500
K  0.500  0.000  0.500
K  0.500  0.500  0.000
Sm  0.000  0.000  0.500
Sm  0.000  0.500  0.000
Sm  0.500  0.000  0.000
Sc  0.500  0.500  0.500
Te  0.238  0.238  0.238
Te  0.250  0.727  0.727
Te  0.273  0.273  0.750
Te  0.273  0.750  0.273
Te  0.727  0.250  0.727
Te  0.727  0.727  0.250
Te  0.750  0.273  0.273
Te  0.762  0.762  0.762

* SG: R-3m
* E: -4.550 eV/atom
* total magnetic moment: 0.0 Bohr magnetons per cell